(1)
Here is a relaxed PrBI crystal from the Alexandria database. Energies are from GGA-PBE.

Cell lengths 9.213, 9.213, 9.213 Å; angles 151.37, 149.26, 42.51 degrees
Fractional coordinates of all 6 atoms:
Pr  0.113  0.113  0.000
Pr  0.887  0.887  0.000
B  0.000  0.334  0.334
B  0.000  0.666  0.666
I  0.323  0.323  0.000
I  0.677  0.677  0.000

=====

(2)
Here is a relaxed CsMgI2 crystal from the Alexandria database. Energies are from GGA-PBE.

Cell lengths 11.322, 11.322, 11.322 Å; angles 23.10, 23.10, 23.10 degrees
Fractional coordinates of all 4 atoms:
Cs  0.000  0.000  0.000
Mg  0.500  0.500  0.500
I  0.118  0.118  0.118
I  0.882  0.882  0.882

=====

(3)
Here is a relaxed La6AsO12 crystal from the Alexandria database. Energies are from GGA-PBE.

Cell lengths 6.810, 6.810, 6.810 Å; angles 98.65, 98.65, 98.65 degrees
Fractional coordinates of all 19 atoms:
La  0.103  0.800  0.642
La  0.200  0.358  0.897
La  0.358  0.897  0.200
La  0.642  0.103  0.800
La  0.800  0.642  0.103
La  0.897  0.200  0.358
As  0.500  0.500  0.500
O  0.057  0.902  0.323
O  0.098  0.677  0.943
O  0.224  0.436  0.527
O  0.323  0.057  0.902
O  0.436  0.527  0.224
O  0.473  0.776  0.564
O  0.527  0.224  0.436
O  0.564  0.473  0.776
O  0.677  0.943  0.098
O  0.776  0.564  0.473
O  0.902  0.323  0.057
O  0.943  0.098  0.677

=====

(4)
Here is a relaxed BaS crystal from the Alexandria database. Energies are from GGA-PBE.

Cell lengths 8.219, 8.219, 8.219 Å; angles 98.67, 98.67, 134.31 degrees
Fractional coordinates of all 8 atoms:
Ba  0.146  0.646  0.793
Ba  0.354  0.146  0.500
Ba  0.646  0.854  0.500
Ba  0.854  0.354  0.207
S  0.146  0.354  0.500
S  0.354  0.854  0.207
S  0.646  0.146  0.793
S  0.854  0.646  0.500

=====

(5)
Here is a relaxed LiTm5Rh4 crystal from the Alexandria database. Energies are from GGA-PBE.

Cell lengths 3.397, 3.397, 17.743 Å; angles 90.00, 90.00, 90.00 degrees
Fractional coordinates of all 10 atoms:
Li  0.000  0.000  0.000
Tm  0.500  0.500  0.124
Tm  0.500  0.500  0.310
Tm  0.500  0.500  0.500
Tm  0.500  0.500  0.690
Tm  0.500  0.500  0.876
Rh  0.000  0.000  0.211
Rh  0.000  0.000  0.405
Rh  0.000  0.000  0.595
Rh  0.000  0.000  0.789

## Properties
Formation enthalpy at 0 K, eV per atom: -0.769

=====

(6)
Here is a relaxed Re2HgOs crystal from the Alexandria database. Energies are from GGA-PBE.

Cell lengths 4.936, 4.936, 4.873 Å; angles 100.39, 100.39, 33.68 degrees
Fractional coordinates of all 4 atoms:
Re  0.237  0.237  0.221
Re  0.763  0.763  0.779
Hg  0.000  0.000  0.500
Os  0.500  0.500  0.000

## Properties
Formation enthalpy at 0 K, eV per atom: 0.643

=====

(7)
Here is a relaxed PrThCO crystal from the Alexandria database. Energies are from GGA-PBE.

Cell lengths 3.713, 3.713, 5.230 Å; angles 90.00, 90.00, 90.00 degrees
Fractional coordinates of all 4 atoms:
Pr  0.000  0.000  0.000
Th  0.500  0.500  0.500
C  0.000  0.000  0.500
O  0.500  0.500  0.000

=====

(8)
Here is a relaxed Ta2ZnCu crystal from the Alexandria database. Energies are from GGA-PBE.

Cell lengths 5.087, 5.087, 5.087 Å; angles 135.65, 135.65, 64.52 degrees
Fractional coordinates of all 4 atoms:
Ta  0.000  0.000  0.000
Ta  0.750  0.250  0.500
Zn  0.250  0.750  0.500
Cu  0.500  0.500  0.000

## Properties
Formation enthalpy at 0 K, eV per atom: 0.175

=====

(9)
Here is a relaxed Sm5Se4Cl crystal from the Alexandria database. Energies are from GGA-PBE.

Cell lengths 16.703, 16.703, 16.703 Å; angles 14.43, 14.43, 14.43 degrees
Fractional coordinates of all 10 atoms:
Sm  0.000  0.000  0.000
Sm  0.199  0.199  0.199
Sm  0.402  0.402  0.402
Sm  0.598  0.598  0.598
Sm  0.801  0.801  0.801
Se  0.102  0.102  0.102
Se  0.299  0.299  0.299
Se  0.701  0.701  0.701
Se  0.898  0.898  0.898
Cl  0.500  0.500  0.500

=====

(10)
Here is a relaxed LiZrHgI6 crystal from the Alexandria database. Energies are from GGA-PBE.

Cell lengths 7.527, 7.527, 7.107 Å; angles 90.00, 90.00, 120.00 degrees
Fractional coordinates of all 9 atoms:
Li  0.000  0.000  0.000
Zr  0.333  0.667  0.000
Hg  0.667  0.333  0.500
I  0.033  0.342  0.233
I  0.033  0.691  0.767
I  0.309  0.342  0.767
I  0.309  0.967  0.233
I  0.658  0.691  0.233
I  0.658  0.967  0.767

=====

(11)
Here is a relaxed ErZn6Pd2 crystal from the Alexandria database. Energies are from GGA-PBE.

Cell lengths 7.338, 7.338, 7.338 Å; angles 151.60, 124.44, 63.56 degrees
Fractional coordinates of all 9 atoms:
Er  0.000  0.000  0.000
Zn  0.007  0.316  0.691
Zn  0.326  0.500  0.826
Zn  0.375  0.684  0.691
Zn  0.625  0.316  0.309
Zn  0.674  0.500  0.174
Zn  0.993  0.684  0.309
Pd  0.372  0.872  0.500
Pd  0.628  0.128  0.500

## Properties
Formation enthalpy at 0 K, eV per atom: -0.299

=====

(12)
Here is a relaxed CaRe2As crystal from the Alexandria database. Energies are from GGA-PBE.

Cell lengths 2.956, 2.956, 8.861 Å; angles 90.00, 90.00, 114.02 degrees
Fractional coordinates of all 4 atoms:
Ca  0.000  0.000  0.000
Re  0.500  0.500  0.286
Re  0.500  0.500  0.714
As  0.000  0.000  0.500

## Properties
Formation enthalpy at 0 K, eV per atom: 0.745

=====

(13)
Here is a relaxed AsPt2Au crystal from the Alexandria database. Energies are from GGA-PBE.

Cell lengths 9.639, 9.639, 9.639 Å; angles 17.25, 17.25, 17.25 degrees
Fractional coordinates of all 4 atoms:
As  0.000  0.000  0.000
Pt  0.262  0.262  0.262
Pt  0.514  0.514  0.514
Au  0.763  0.763  0.763

## Properties
Formation enthalpy at 0 K, eV per atom: 0.040

=====

(14)
Here is a relaxed Co2SeI crystal from the Alexandria database. Energies are from GGA-PBE.

Cell lengths 4.488, 4.488, 4.488 Å; angles 60.00, 60.00, 60.00 degrees
Fractional coordinates of all 4 atoms:
Co  0.250  0.250  0.250
Co  0.750  0.750  0.750
Se  0.000  0.000  0.000
I  0.500  0.500  0.500

=====

(15)
Here is a relaxed Al2Ag2Pt crystal from the Alexandria database. Energies are from GGA-PBE.

Cell lengths 6.577, 6.577, 3.951 Å; angles 90.00, 90.00, 90.00 degrees
Fractional coordinates of all 10 atoms:
Al  0.148  0.352  0.000
Al  0.352  0.852  0.000
Al  0.648  0.148  0.000
Al  0.852  0.648  0.000
Ag  0.154  0.654  0.500
Ag  0.346  0.154  0.500
Ag  0.654  0.846  0.500
Ag  0.846  0.346  0.500
Pt  0.000  0.000  0.000
Pt  0.500  0.500  0.000

## Properties
Formation enthalpy at 0 K, eV per atom: -0.216

=====

(16)
Here is a relaxed SrCd3 crystal from the Alexandria database. Energies are from GGA-PBE.

Cell lengths 6.191, 6.191, 6.191 Å; angles 116.25, 116.25, 116.25 degrees
Fractional coordinates of all 4 atoms:
Sr  0.000  0.000  0.000
Cd  0.000  0.500  0.500
Cd  0.500  0.000  0.500
Cd  0.500  0.500  0.000

## Properties
Formation enthalpy at 0 K, eV per atom: -0.053

=====

(17)
Here is a relaxed ScTlSiO4 crystal from the Alexandria database. Energies are from GGA-PBE.

Cell lengths 5.299, 5.532, 7.666 Å; angles 90.00, 93.11, 90.00 degrees
Fractional coordinates of all 14 atoms:
Sc  0.191  0.250  0.469
Sc  0.809  0.750  0.531
Tl  0.240  0.750  0.131
Tl  0.760  0.250  0.869
Si  0.324  0.750  0.644
Si  0.676  0.250  0.356
O  0.122  0.521  0.656
O  0.122  0.979  0.656
O  0.410  0.250  0.239
O  0.424  0.750  0.443
O  0.576  0.250  0.557
O  0.590  0.750  0.761
O  0.878  0.021  0.344
O  0.878  0.479  0.344

=====

(18)
Here is a relaxed Rb3Tl3RhCl8 crystal from the Alexandria database. Energies are from GGA-PBE.

Cell lengths 9.107, 9.107, 9.120 Å; angles 119.91, 119.91, 60.40 degrees
Fractional coordinates of all 15 atoms:
Rb  0.000  0.000  0.000
Rb  0.000  0.500  0.000
Rb  0.500  0.000  0.000
Tl  0.000  0.500  0.500
Tl  0.500  0.000  0.500
Tl  0.500  0.500  0.500
Rh  0.000  0.000  0.500
Cl  0.185  0.185  0.684
Cl  0.203  0.793  0.698
Cl  0.207  0.797  0.302
Cl  0.251  0.251  0.254
Cl  0.749  0.749  0.746
Cl  0.793  0.203  0.698
Cl  0.797  0.207  0.302
Cl  0.815  0.815  0.316

=====

(19)
Here is a relaxed Hf3NbZn2N crystal from the Alexandria database. Energies are from GGA-PBE.

Cell lengths 7.667, 7.667, 7.667 Å; angles 148.64, 147.55, 45.75 degrees
Fractional coordinates of all 7 atoms:
Hf  0.000  0.000  0.000
Hf  0.334  0.834  0.500
Hf  0.666  0.166  0.500
Nb  0.500  0.500  0.000
Zn  0.137  0.637  0.500
Zn  0.863  0.363  0.500
N  0.500  0.000  0.500

=====

(20)
Here is a relaxed Cu2TcNi crystal from the Alexandria database. Energies are from GGA-PBE.

Cell lengths 2.581, 4.375, 4.470 Å; angles 90.00, 90.00, 90.00 degrees
Fractional coordinates of all 4 atoms:
Cu  0.000  0.000  0.000
Cu  0.500  0.500  0.000
Tc  0.000  0.500  0.500
Ni  0.500  0.000  0.500

## Properties
Formation enthalpy at 0 K, eV per atom: 0.237

=====

(21)
Here is a relaxed PuTiIr crystal from the Alexandria database. Energies are from GGA-PBE.

Cell lengths 4.347, 4.347, 6.577 Å; angles 90.00, 90.00, 90.00 degrees
Fractional coordinates of all 6 atoms:
Pu  0.250  0.250  0.135
Pu  0.750  0.750  0.865
Ti  0.250  0.750  0.500
Ti  0.750  0.250  0.500
Ir  0.250  0.250  0.707
Ir  0.750  0.750  0.293

## Properties
Formation enthalpy at 0 K, eV per atom: -0.485

=====

(22)
Here is a relaxed NaZr2Tl crystal from the Alexandria database. Energies are from GGA-PBE.

Cell lengths 6.544, 6.544, 6.544 Å; angles 100.94, 100.94, 128.35 degrees
Fractional coordinates of all 8 atoms:
Na  0.000  0.000  0.000
Na  0.750  0.250  0.500
Zr  0.135  0.625  0.010
Zr  0.375  0.385  0.510
Zr  0.615  0.125  0.990
Zr  0.875  0.865  0.490
Tl  0.250  0.750  0.500
Tl  0.500  0.500  0.000

## Properties
Formation enthalpy at 0 K, eV per atom: 0.550

=====

(23)
Here is a relaxed Tb3Er2Ag2 crystal from the Alexandria database. Energies are from GGA-PBE.

Cell lengths 11.532, 11.532, 3.419 Å; angles 90.00, 90.00, 155.49 degrees
Fractional coordinates of all 7 atoms:
Tb  0.000  0.000  0.000
Tb  0.143  0.857  0.000
Tb  0.857  0.143  0.000
Er  0.291  0.709  0.500
Er  0.709  0.291  0.500
Ag  0.430  0.570  0.500
Ag  0.570  0.430  0.500

## Properties
Formation enthalpy at 0 K, eV per atom: 0.043

=====

(24)
Here is a relaxed CdO crystal from the Alexandria database. Energies are from GGA-PBE.

Cell lengths 6.314, 6.314, 6.314 Å; angles 90.00, 90.00, 90.00 degrees
Fractional coordinates of all 12 atoms:
Cd  0.000  0.250  0.500
Cd  0.000  0.750  0.500
Cd  0.250  0.500  0.000
Cd  0.500  0.000  0.250
Cd  0.500  0.000  0.750
Cd  0.750  0.500  0.000
O  0.000  0.500  0.250
O  0.000  0.500  0.750
O  0.250  0.000  0.500
O  0.500  0.250  0.000
O  0.500  0.750  0.000
O  0.750  0.000  0.500

=====

(25)
Here is a relaxed Y3TiF crystal from the Alexandria database. Energies are from GGA-PBE.

Cell lengths 4.885, 4.885, 4.885 Å; angles 90.00, 90.00, 90.00 degrees
Fractional coordinates of all 5 atoms:
Y  0.000  0.000  0.500
Y  0.000  0.500  0.000
Y  0.500  0.000  0.000
Ti  0.500  0.500  0.500
F  0.000  0.000  0.000

=====

Number 1: E_tot -4.507 eV/atom. Number 2: E_tot -2.094 eV/atom. Number 3: E_tot -7.890 eV/atom. Number 4: E_tot -4.971 eV/atom. Number 5: E_tot -6.136 eV/atom. Number 6: E_tot -8.464 eV/atom. Number 7: E_tot -8.136 eV/atom. Number 8: E_tot -7.094 eV/atom. Number 9: E_tot -5.635 eV/atom. Number 10: E_tot -2.977 eV/atom. Number 11: E_tot -2.809 eV/atom. Number 12: E_tot -7.142 eV/atom. Number 13: E_tot -4.962 eV/atom. Number 14: E_tot -4.119 eV/atom. Number 15: E_tot -4.062 eV/atom. Number 16: E_tot -1.160 eV/atom. Number 17: E_tot -7.410 eV/atom. Number 18: E_tot -3.362 eV/atom. Number 19: E_tot -7.655 eV/atom. Number 20: E_tot -5.848 eV/atom. Number 21: E_tot -10.847 eV/atom. Number 22: E_tot -4.645 eV/atom. Number 23: E_tot -4.059 eV/atom. Number 24: E_tot -3.894 eV/atom. Number 25: E_tot -6.594 eV/atom.